# 1
The following is a DFT calculation (PBE-GGA) of crystalline K2NaGa3F12 at its relaxed geometry.

```
K2NaGa3F12
1.0
-4.0498 4.0212 -4.3914
-0.0438 -1.6953 -6.9985
-5.9853 -2.9694 -2.6859
F Na Ga K
12 1 3 2
direct
0.8908 0.3976 0.8908
0.0931 0.7070 0.7070
0.2930 0.2930 0.9069
0.6024 0.1092 0.1092
0.3976 0.8908 0.8908
0.2930 0.9069 0.2930
0.8908 0.8908 0.3976
0.9069 0.2930 0.2930
0.7070 0.0931 0.7070
0.1092 0.1092 0.6024
0.7070 0.7070 0.0931
0.1092 0.6024 0.1092
0.0000 0.0000 0.0000
0.5000 0.0000 0.0000
0.0000 0.5000 0.0000
0.0000 0.0000 0.5000
0.6295 0.6295 0.6295
0.3705 0.3705 0.3705
```

Computed properties:
electronic total energy: -84.37 eV per cell
uncorrected formation energy: -2.74 eV per atom

---

# 2
The following is a DFT calculation (PBE-GGA) of crystalline AcGdNiSn at its relaxed geometry.

```
AcGdNiSn
1.0
-2.1317 3.5896 -3.3932
-2.4373 -1.6669 -4.4971
-5.3432 0.4103 -0.4741
Ac Ni Sn Gd
1 1 1 1
direct
0.0000 0.0000 0.0000
0.7500 0.7500 0.7500
0.2500 0.2500 0.2500
0.5000 0.5000 0.5000
```

Computed properties:
calculated formation energy: -0.32 eV/atom
electronic total energy: -29.25 eV per cell

---

# 3
The following is a DFT calculation (PBE-GGA) of crystalline Zr2GaAu2 at its relaxed geometry.

```
Zr2GaAu2
1.0
-0.0841 4.1320 6.5716
-7.7624 0.0079 -0.1043
-0.0281 -2.9706 1.8675
Zr Au Ga
4 4 2
direct
0.3316 0.8316 0.0000
0.1684 0.3316 0.0000
0.6684 0.1684 0.0000
0.8316 0.6684 0.0000
0.3699 0.1301 0.5000
0.6301 0.8699 0.5000
0.1301 0.6301 0.5000
0.8699 0.3699 0.5000
0.5000 0.5000 0.0000
0.0000 0.0000 0.0000
```

Computed properties:
calculated formation energy: -0.31 eV/atom
energy relative to the lowest polymorph listed for this composition: 134 meV/atom
electronic total energy: -56.44 eV per cell

---

# 4
The following is a DFT calculation (PBE-GGA) of crystalline Ag2MoW at its relaxed geometry.

```
Ag2MoW
1.0
0.0000 3.2235 3.2235
3.2235 0.0000 3.2235
3.2235 3.2235 0.0000
Ag Mo W
2 1 1
direct
0.2500 0.2500 0.2500
0.7500 0.7500 0.7500
0.0000 0.0000 0.0000
0.5000 0.5000 0.5000
```

Computed properties:
calculated formation energy: 1.09 eV/atom
energy relative to the lowest polymorph listed for this composition: 790 meV/atom
electronic total energy: -25.11 eV per cell

---

Repeat the first record exactly.
The following is a DFT calculation (PBE-GGA) of crystalline K2NaGa3F12 at its relaxed geometry.

```
K2NaGa3F12
1.0
-4.0498 4.0212 -4.3914
-0.0438 -1.6953 -6.9985
-5.9853 -2.9694 -2.6859
F Na Ga K
12 1 3 2
direct
0.8908 0.3976 0.8908
0.0931 0.7070 0.7070
0.2930 0.2930 0.9069
0.6024 0.1092 0.1092
0.3976 0.8908 0.8908
0.2930 0.9069 0.2930
0.8908 0.8908 0.3976
0.9069 0.2930 0.2930
0.7070 0.0931 0.7070
0.1092 0.1092 0.6024
0.7070 0.7070 0.0931
0.1092 0.6024 0.1092
0.0000 0.0000 0.0000
0.5000 0.0000 0.0000
0.0000 0.5000 0.0000
0.0000 0.0000 0.5000
0.6295 0.6295 0.6295
0.3705 0.3705 0.3705
```

Computed properties:
electronic total energy: -84.37 eV per cell
uncorrected formation energy: -2.74 eV per atom